Computed, not measured: a geometry-optimized KPmTe2O8 structure at the PBE-GGA level of DFT.

a = 6.0751 Å, b = 6.0751 Å, c = 7.7735 Å
α = 90.00°, β = 90.00°, γ = 120.00°
Space group P-3 (No. 147)
Unique sites:
K 0.0000 0.0000 0.0000 [1 per cell]
Pm 0.0000 0.0000 0.5000 [1 per cell]
Te 0.3333 0.6667 0.7758 [2 per cell]
O 0.1651 0.3390 0.6911 [6 per cell]
O 0.3333 0.6667 0.0099 [2 per cell]

Summary:
**Calculated density**: 3.8 g/cm3
**Formation energy (no corrections)**: -1.555 eV/atom